The following is a PBE+U calculation of an optimized crystal structure of Na3CoRu3O8, from Alexandria.

Structure (POSCAR):
```
Na3CoRu3O8
1.0
3.009 1.737 5.502
-3.009 1.737 5.502
0.000 -3.475 5.502
Na Co Ru O
3 1 3 8
Cartesian
-1.505 -0.869 5.502
-1.505 0.869 11.004
0.000 1.737 5.502
0.000 0.000 8.253
-3.009 0.000 8.253
-1.505 0.869 2.751
1.505 0.869 2.751
0.000 0.000 3.921
-1.426 -0.823 9.301
0.000 -1.646 7.205
-1.426 0.823 7.205
1.426 -0.823 9.301
0.000 1.646 9.301
1.426 0.823 7.205
0.000 0.000 12.584
```

Computed properties:
The calculation puts the magnetic moment at 0.2704 μB/atom. The total DFT energy (no corrections) comes out at -93.281 eV for the cell shown. As for the density of states at the Fermi level: 4.76 states/eV/f.u.